Record 1
VASP calculation (PBE-GGA) on crystalline BaGe4Pd6 at its relaxed geometry.

Cell lengths 7.3936, 7.3936, 4.1184 Å; angles 90.00, 90.00, 120.00 degrees
Closest atoms and distances in Å follow each position.
Space group P-6m2 (No. 187)
Symmetry-distinct sites (fractional):
Ba 0.0000 0.0000 0.0000 (multiplicity 1)  6 Ge 3.29, 6 Pd 3.33
Ge 0.2000 0.4000 0.5000 (multiplicity 3)  6 Pd 2.59-2.67
Ge 0.6667 0.3333 0.0000 (multiplicity 1)  9 Pd 2.58-2.64
Pd 0.0700 0.5350 0.0000 (multiplicity 3)  5 Ge 2.58-2.67
Pd 0.4079 0.2040 0.5000 (multiplicity 3)  4 Ge 2.59-2.64, 2 Pd 2.87

Summary:
energy relative to the elements	-0.58	eV per atom
distance to the lowest polymorph of the same formula	0.000	eV/atom

Record 2
VASP calculation (PBE-GGA) on crystalline Sc2InCuTe4 at its relaxed geometry.

Cell lengths 4.1750, 14.5097, 14.8454 Å; angles 90.00, 90.00, 90.00 degrees
Closest atoms and distances in Å follow each position.
Space group Cmcm (No. 63)
Symmetry-distinct sites (fractional):
Sc 0.0000 0.1298 0.0699 (multiplicity 8)  6 Te 2.91-3.04
In 0.0000 0.3741 0.2500 (multiplicity 4)  6 Te 3.31-3.35
Cu 0.0000 0.3417 0.7500 (multiplicity 4)  4 Te 2.60-2.62
Te 0.0000 0.0514 0.2500 (multiplicity 4)  2 Cu 2.60, 2 Sc 2.91
Te 0.0000 0.2337 0.6083 (multiplicity 8)  1 Cu 2.62, 2 Sc 2.93
Te 0.0000 0.5000 0.0000 (multiplicity 4)  4 Sc 3.00

Summary:
calculated total energy	-153.51	eV/cell

Record 3
VASP calculation (PBE-GGA) on crystalline Y2FePt at its relaxed geometry.

Cell lengths 3.8929, 3.8929, 5.9780 Å; angles 90.00, 90.00, 90.00 degrees
Closest atoms and distances in Å follow each position.
Space group P4mm (No. 99)
Symmetry-distinct sites (fractional):
Y 0.0000 0.0000 0.0000 (multiplicity 1)  4 Pt 2.86, 2 Fe 2.90-3.08
Y 0.5000 0.5000 0.3835 (multiplicity 1)  4 Fe 2.86, 2 Pt 2.91-3.07
Fe 0.0000 0.0000 0.5156 (multiplicity 1)  6 Y 2.86-3.08
Pt 0.5000 0.5000 0.8706 (multiplicity 1)  6 Y 2.86-3.07

Summary:
energy relative to the elements	-0.26	eV per atom

Record 4
VASP calculation (PBE-GGA) on crystalline InTc at its relaxed geometry.

Cell lengths 4.2694, 4.2845, 16.8259 Å; angles 90.00, 90.00, 90.00 degrees
Closest atoms and distances in Å follow each position.
Space group Fmmm (No. 69)
Symmetry-distinct sites (fractional):
In 0.0000 0.0000 0.0865 (multiplicity 8)  5 In 2.91-3.02, 4 Tc 2.95-2.96
Tc 0.0000 0.0000 0.2922 (multiplicity 8)  4 Tc 2.56-2.57

Summary:
energy relative to the elements	0.01	eV per atom